(1)
BaTl2Ge2 | GGA-PBE | relaxed

- DOS at the Fermi energy (states/eV per cell) = 1.26
- calculated volume (Å³ per atom) = 29.78
- polymorph energy (0 for the lowest one) (meV per atom) = 0.0
- total moment (μB per formula unit) = 0.000
- DFT formation energy (eV/atom) = -0.208
- E (eV/atom) = -3.386

POSCAR file:
```
BaTl2Ge2
1.0
4.912 0.000 0.000
0.000 4.912 0.000
2.456 2.456 6.171
Ge Tl Ba
2 2 1
Direct
0.603 0.603 0.794
0.397 0.397 0.206
0.750 0.250 0.500
0.250 0.750 0.500
0.000 0.000 0.000
```

---

(2)
Ba8Tl2Ge | GGA-PBE | relaxed

- DOS at the Fermi energy (states/eV per cell) = 10.73
- calculated volume (Å³ per atom) = 44.21
- polymorph energy (0 for the lowest one) (meV per atom) = 79.8
- total moment (μB per formula unit) = 0.000
- DFT formation energy (eV/atom) = -0.190
- E (eV/atom) = -2.438

POSCAR file:
```
Ba8Tl2Ge
1.0
-1.992 -5.052 -2.173
8.143 -0.886 -5.405
0.671 -1.231 10.121
Ba Tl Ge
8 2 1
Direct
0.866 0.866 0.732
0.346 0.118 0.691
0.000 0.326 0.000
0.346 0.573 0.691
0.654 0.427 0.309
0.134 0.134 0.268
0.654 0.882 0.309
0.000 0.674 0.000
0.192 0.693 0.385
0.808 0.307 0.615
0.500 0.000 0.000
```

---

(3)
BaTlGe2 | GGA-PBE | relaxed

- DOS at the Fermi energy (states/eV per cell) = 8.34
- calculated volume (Å³ per atom) = 29.58
- polymorph energy (0 for the lowest one) (meV per atom) = 0.0
- total moment (μB per formula unit) = 0.000
- DFT formation energy (eV/atom) = -0.335
- E (eV/atom) = -3.716

POSCAR file:
```
BaTlGe2
1.0
5.198 0.000 0.000
0.000 7.369 0.000
0.000 0.000 12.356
Tl Ge Ba
4 8 4
Direct
0.750 0.350 0.061
0.250 0.650 0.939
0.750 0.850 0.439
0.250 0.150 0.561
0.750 0.482 0.831
0.250 0.169 0.147
0.750 0.331 0.647
0.250 0.518 0.169
0.750 0.982 0.669
0.250 0.669 0.353
0.250 0.018 0.331
0.750 0.831 0.853
0.250 0.654 0.644
0.750 0.846 0.144
0.250 0.154 0.856
0.750 0.346 0.356
```

---

(4)
BaTl2Ge2 | GGA-PBE | relaxed

- DOS at the Fermi energy (states/eV per cell) = 1.95
- calculated volume (Å³ per atom) = 29.61
- polymorph energy (0 for the lowest one) (meV per atom) = 72.2
- total moment (μB per formula unit) = 0.000
- DFT formation energy (eV/atom) = -0.135
- E (eV/atom) = -3.313

POSCAR file:
```
BaTl2Ge2
1.0
5.180 0.000 0.000
0.000 5.180 0.000
2.590 2.590 5.516
Ba Ge Tl
1 2 2
Direct
0.000 0.000 0.000
0.250 0.750 0.500
0.750 0.250 0.500
0.366 0.366 0.268
0.634 0.634 0.732
```

---

(5)
Ba3TlGe | GGA-PBE | relaxed

- DOS at the Fermi energy (states/eV per cell) = 5.84
- calculated volume (Å³ per atom) = 52.83
- polymorph energy (0 for the lowest one) (meV per atom) = 0.0
- total moment (μB per formula unit) = 2.565
- DFT formation energy (eV/atom) = -0.161
- E (eV/atom) = -2.711

POSCAR file:
```
Ba3TlGe
1.0
-6.400 0.405 0.204
-0.388 -3.392 -5.432
-0.234 -5.431 3.408
Ba Ge Tl
3 1 1
Direct
0.000 0.000 0.500
0.500 0.000 0.000
0.000 0.500 0.000
0.000 0.000 0.000
0.500 0.500 0.500
```

---

(6)
Ba2Tl2Ge | GGA-PBE | relaxed

- DOS at the Fermi energy (states/eV per cell) = 8.40
- calculated volume (Å³ per atom) = 35.65
- polymorph energy (0 for the lowest one) (meV per atom) = 147.5
- total moment (μB per formula unit) = 0.000
- DFT formation energy (eV/atom) = -0.257
- E (eV/atom) = -2.896

POSCAR file:
```
Ba2Tl2Ge
1.0
8.078 0.000 0.000
0.000 8.078 0.000
0.000 0.000 5.463
Ba Tl Ge
4 4 2
Direct
0.323 0.177 0.500
0.677 0.823 0.500
0.177 0.677 0.500
0.823 0.323 0.500
0.365 0.865 0.000
0.135 0.365 0.000
0.635 0.135 0.000
0.865 0.635 0.000
0.000 0.000 0.000
0.500 0.500 0.000
```

---

(7)
Ba4TlGe | GGA-PBE | relaxed

- DOS at the Fermi energy (states/eV per cell) = 12.30
- calculated volume (Å³ per atom) = 46.76
- polymorph energy (0 for the lowest one) (meV per atom) = 19.1
- total moment (μB per formula unit) = 0.000
- DFT formation energy (eV/atom) = -0.325
- E (eV/atom) = -2.771

POSCAR file:
```
Ba4TlGe
1.0
-4.493 -6.097 2.604
-0.209 -1.577 -9.053
8.690 -0.569 3.846
Ge Ba Tl
2 8 2
Direct
0.613 0.363 0.726
0.387 0.637 0.274
0.359 0.948 0.631
0.395 0.635 0.899
0.605 0.365 0.101
0.996 0.736 0.101
0.004 0.264 0.899
0.641 0.052 0.369
0.772 0.683 0.631
0.228 0.317 0.369
0.240 0.990 0.980
0.760 0.010 0.020
```

---

(8)
BaTlGe3 | GGA-PBE | relaxed

- DOS at the Fermi energy (states/eV per cell) = 4.96
- calculated volume (Å³ per atom) = 40.48
- polymorph energy (0 for the lowest one) (meV per atom) = 700.6
- total moment (μB per formula unit) = 0.000
- DFT formation energy (eV/atom) = 1.047
- E (eV/atom) = -2.581

POSCAR file:
```
BaTlGe3
1.0
-0.342 5.827 0.630
-5.088 0.018 -2.930
-2.910 -0.717 5.049
Ge Ba Tl
3 1 1
Direct
0.000 0.000 0.500
0.500 0.000 0.000
0.000 0.500 0.000
0.000 0.000 0.000
0.500 0.500 0.500
```

---

(9)
BaTlGe4 | GGA-PBE | relaxed

- DOS at the Fermi energy (states/eV per cell) = 2.41
- calculated volume (Å³ per atom) = 24.93
- total moment (μB per formula unit) = 0.000
- DFT formation energy (eV/atom) = -0.114
- E (eV/atom) = -3.907

POSCAR file:
```
BaTlGe4
1.0
-2.126 2.243 5.095
0.958 -2.855 5.141
3.737 2.298 4.033
Ba Tl Ge
1 1 4
Direct
0.250 0.250 0.250
0.000 0.000 0.000
0.618 0.145 0.618
0.618 0.618 0.145
0.618 0.618 0.618
0.145 0.618 0.618
```

---

(10)
Ba6Tl5Ge | GGA-PBE | relaxed

- DOS at the Fermi energy (states/eV per cell) = 9.20
- calculated volume (Å³ per atom) = 38.49
- total moment (μB per formula unit) = 0.000
- DFT formation energy (eV/atom) = -0.402
- E (eV/atom) = -2.734

POSCAR file:
```
Ba6Tl5Ge
1.0
5.919 -0.386 0.984
-0.022 7.788 3.193
1.373 0.287 10.404
Tl Ge Ba
5 1 6
Direct
0.686 0.185 0.631
0.673 0.672 0.655
0.327 0.328 0.345
0.000 0.500 0.000
0.314 0.815 0.369
0.000 0.000 0.000
0.158 0.918 0.685
0.158 0.396 0.685
0.500 0.233 0.000
0.842 0.604 0.315
0.500 0.767 0.000
0.842 0.082 0.315
```

---

(11)
BaTlGe3 | GGA-PBE | relaxed

- DOS at the Fermi energy (states/eV per cell) = 3.73
- calculated volume (Å³ per atom) = 32.56
- polymorph energy (0 for the lowest one) (meV per atom) = 0.0
- total moment (μB per formula unit) = 0.000
- DFT formation energy (eV/atom) = 0.346
- E (eV/atom) = -3.282

POSCAR file:
```
BaTlGe3
1.0
5.460 0.000 0.000
0.000 5.460 0.000
0.000 0.000 5.460
Ge Tl Ba
3 1 1
Direct
0.000 0.500 0.000
0.000 0.000 0.500
0.500 0.000 0.000
0.000 0.000 0.000
0.500 0.500 0.500
```

---

(12)
BaTlGe2 | GGA-PBE | relaxed

- DOS at the Fermi energy (states/eV per cell) = 3.97
- calculated volume (Å³ per atom) = 32.78
- polymorph energy (0 for the lowest one) (meV per atom) = 266.6
- total moment (μB per formula unit) = 0.000
- DFT formation energy (eV/atom) = -0.068
- E (eV/atom) = -3.449

POSCAR file:
```
BaTlGe2
1.0
-4.641 1.159 1.945
-2.249 -1.840 -4.269
-3.950 -9.259 2.949
Ge Tl Ba
4 2 2
Direct
0.986 0.625 0.250
0.875 0.014 0.750
0.764 0.125 0.250
0.375 0.236 0.750
0.750 0.250 0.500
0.000 0.000 0.000
0.500 0.500 0.000
0.250 0.750 0.500
```

---

(13)
BaTlVGe2 | GGA-PBE | relaxed

- DOS at the Fermi energy (states/eV per cell) = 9.07
- calculated volume (Å³ per atom) = 40.27
- total moment (μB per formula unit) = 0.083
- DFT formation energy (eV/atom) = 1.832
- E (eV/atom) = -2.697

POSCAR file:
```
BaTlVGe2
1.0
-2.621 -3.933 3.253
0.741 -4.156 -4.427
5.056 -1.502 2.257
Ge Tl V Ba
2 1 1 1
Direct
0.500 0.000 0.000
0.000 0.000 0.500
0.000 0.500 0.000
0.500 0.500 0.500
0.000 0.000 0.000
```

---

(14)
Ba2TlZn4Ge3 | GGA-PBE | relaxed

- DOS at the Fermi energy (states/eV per cell) = 2.85
- calculated volume (Å³ per atom) = 23.42
- total moment (μB per formula unit) = 0.000
- DFT formation energy (eV/atom) = -0.332
- E (eV/atom) = -2.848

POSCAR file:
```
Ba2TlZn4Ge3
1.0
-3.990 0.709 2.201
2.156 -0.442 4.052
1.992 10.831 0.122
Ge Zn Tl Ba
3 4 1 2
Direct
0.000 0.000 0.500
0.500 0.000 0.876
0.000 0.500 0.124
0.000 0.000 0.000
0.500 0.500 0.000
0.500 0.000 0.642
0.000 0.500 0.358
0.500 0.500 0.500
0.000 0.500 0.763
0.500 0.000 0.237
```

---

(15)
Ba2TlZn3Ge4 | GGA-PBE | relaxed

- DOS at the Fermi energy (states/eV per cell) = 3.87
- calculated volume (Å³ per atom) = 23.96
- total moment (μB per formula unit) = 0.000
- DFT formation energy (eV/atom) = -0.306
- E (eV/atom) = -3.156

POSCAR file:
```
Ba2TlZn3Ge4
1.0
-1.979 3.276 2.690
-3.067 0.942 -3.404
-6.847 -7.498 4.095
Zn Tl Ba Ge
3 1 2 4
Direct
0.000 0.500 0.118
0.500 0.000 0.882
0.000 0.000 0.500
0.500 0.500 0.500
0.000 0.500 0.760
0.500 0.000 0.240
0.000 0.500 0.355
0.500 0.000 0.645
0.500 0.500 0.000
0.000 0.000 0.000
```

---

(16)
Ba2ZrTlGe | GGA-PBE | relaxed

- DOS at the Fermi energy (states/eV per cell) = 5.37
- calculated volume (Å³ per atom) = 41.46
- polymorph energy (0 for the lowest one) (meV per atom) = 274.3
- total moment (μB per formula unit) = 0.227
- DFT formation energy (eV/atom) = 0.342
- E (eV/atom) = -3.533

POSCAR file:
```
Ba2ZrTlGe
1.0
-3.390 5.280 -0.122
-5.280 -3.386 0.208
0.092 0.180 5.260
Ba Zr Tl Ge
2 1 1 1
Direct
0.000 0.500 0.000
0.500 0.000 0.000
0.000 0.000 0.000
0.500 0.500 0.500
0.000 0.000 0.500
```

---

(17)
Ba2ZrTlGe | GGA-PBE | relaxed

- DOS at the Fermi energy (states/eV per cell) = 3.55
- calculated volume (Å³ per atom) = 41.88
- polymorph energy (0 for the lowest one) (meV per atom) = 0.0
- total moment (μB per formula unit) = 0.000
- DFT formation energy (eV/atom) = 0.068
- E (eV/atom) = -3.808

POSCAR file:
```
Ba2ZrTlGe
1.0
-1.988 0.485 -6.015
4.634 -1.635 -1.664
-2.051 -6.010 0.193
Ba Tl Zr Ge
2 1 1 1
Direct
0.000 0.000 0.500
0.500 0.000 0.000
0.500 0.500 0.500
0.000 0.500 0.000
0.000 0.000 0.000
```

---

(18)
Ba2ZrTlGe | GGA-PBE | relaxed

- DOS at the Fermi energy (states/eV per cell) = 5.70
- calculated volume (Å³ per atom) = 43.48
- polymorph energy (0 for the lowest one) (meV per atom) = 473.8
- total moment (μB per formula unit) = 3.625
- DFT formation energy (eV/atom) = 0.542
- E (eV/atom) = -3.334

POSCAR file:
```
Ba2ZrTlGe
1.0
6.379 0.000 0.000
0.000 5.342 0.000
0.000 0.000 6.379
Tl Ba Ge Zr
1 2 1 1
Direct
0.000 0.500 0.000
0.000 0.000 0.500
0.500 0.000 0.000
0.000 0.000 0.000
0.500 0.500 0.500
```

---

(19)
BaV2Ge2 | GGA-PBE | relaxed

- DOS at the Fermi energy (states/eV per cell) = 4.64
- calculated volume (Å³ per atom) = 21.26
- total moment (μB per formula unit) = 0.000
- DFT formation energy (eV/atom) = 0.176
- E (eV/atom) = -5.703

POSCAR file:
```
BaV2Ge2
1.0
-1.313 -1.443 -4.336
4.456 0.596 -1.548
2.574 -4.864 -1.768
V Ge Ba
2 2 1
Direct
0.396 0.396 0.208
0.604 0.604 0.792
0.250 0.750 0.500
0.750 0.250 0.500
0.000 0.000 0.000
```

---

(20)
BaVGe3 | GGA-PBE | relaxed

- DOS at the Fermi energy (states/eV per cell) = 1.35
- calculated volume (Å³ per atom) = 23.08
- total moment (μB per formula unit) = 0.000
- DFT formation energy (eV/atom) = -0.311
- E (eV/atom) = -5.289

POSCAR file:
```
BaVGe3
1.0
-4.156 0.698 2.438
-2.536 -1.197 -3.980
0.029 -4.667 1.385
Ge Ba V
3 1 1
Direct
0.000 0.500 0.000
0.500 0.000 0.000
0.000 0.000 0.500
0.500 0.500 0.500
0.000 0.000 0.000
```

---

(21)
BaV2Ge | GGA-PBE | relaxed

- DOS at the Fermi energy (states/eV per cell) = 5.90
- calculated volume (Å³ per atom) = 24.98
- total moment (μB per formula unit) = 0.001
- DFT formation energy (eV/atom) = 0.524
- E (eV/atom) = -5.671

POSCAR file:
```
BaV2Ge
1.0
4.640 0.000 0.000
0.000 4.640 0.000
2.320 2.320 9.281
V Ge Ba
4 2 2
Direct
0.375 0.625 0.750
0.875 0.625 0.750
0.375 0.625 0.250
0.375 0.125 0.250
0.500 0.500 0.000
0.250 0.750 0.500
0.750 0.250 0.500
0.000 0.000 0.000
```

---

(22)
BaVGe2 | GGA-PBE | relaxed

- DOS at the Fermi energy (states/eV per cell) = 1.92
- calculated volume (Å³ per atom) = 23.54
- polymorph energy (0 for the lowest one) (meV per atom) = 328.4
- total moment (μB per formula unit) = 3.100
- DFT formation energy (eV/atom) = 0.227
- E (eV/atom) = -4.842

POSCAR file:
```
BaVGe2
1.0
0.000 3.611 3.611
3.611 0.000 3.611
3.611 3.611 0.000
V Ba Ge
1 1 2
Direct
0.000 0.000 0.000
0.500 0.500 0.500
0.250 0.250 0.250
0.750 0.750 0.750
```

---

(23)
Ba2VGe | GGA-PBE | relaxed

- DOS at the Fermi energy (states/eV per cell) = 10.54
- calculated volume (Å³ per atom) = 34.99
- total moment (μB per formula unit) = 3.798
- DFT formation energy (eV/atom) = 0.620
- E (eV/atom) = -3.775

POSCAR file:
```
Ba2VGe
1.0
-6.384 -3.981 5.253
1.069 -7.842 -4.643
-0.301 -6.860 2.450
Ge V Ba
2 2 4
Direct
0.000 0.000 0.000
0.750 0.250 0.500
0.250 0.750 0.500
0.500 0.500 0.000
0.375 0.356 0.750
0.644 0.125 0.250
0.875 0.894 0.750
0.106 0.625 0.250
```

---

(24)
Ba3VGe | GGA-PBE | relaxed

- DOS at the Fermi energy (states/eV per cell) = 11.30
- calculated volume (Å³ per atom) = 51.57
- polymorph energy (0 for the lowest one) (meV per atom) = 0.0
- total moment (μB per formula unit) = 5.186
- DFT formation energy (eV/atom) = 0.483
- E (eV/atom) = -3.418

POSCAR file:
```
Ba3VGe
1.0
6.365 0.000 0.000
0.000 6.365 0.000
0.000 0.000 6.365
Ge Ba V
1 3 1
Direct
0.000 0.000 0.000
0.000 0.000 0.500
0.500 0.000 0.000
0.000 0.500 0.000
0.500 0.500 0.500
```

---

(25)
BaVGe2 | GGA-PBE | relaxed

- DOS at the Fermi energy (states/eV per cell) = 3.99
- calculated volume (Å³ per atom) = 31.52
- polymorph energy (0 for the lowest one) (meV per atom) = 418.7
- total moment (μB per formula unit) = 3.052
- DFT formation energy (eV/atom) = 0.317
- E (eV/atom) = -4.752

POSCAR file:
```
BaVGe2
1.0
-2.710 1.115 -3.167
0.786 -1.255 -4.053
-4.760 -6.581 -1.183
Ge Ba V
2 1 1
Direct
0.863 0.863 0.411
0.137 0.137 0.589
0.000 0.000 0.000
0.500 0.500 0.500
```

---

(26)
BaVGe3 | GGA-PBE | relaxed

- DOS at the Fermi energy (states/eV per cell) = 7.76
- calculated volume (Å³ per atom) = 36.60
- total moment (μB per formula unit) = 3.424
- DFT formation energy (eV/atom) = 1.734
- E (eV/atom) = -3.244

POSCAR file:
```
BaVGe3
1.0
5.677 0.000 0.000
0.000 5.677 0.000
0.000 0.000 5.677
Ge V Ba
3 1 1
Direct
0.500 0.000 0.000
0.000 0.500 0.000
0.000 0.000 0.500
0.500 0.500 0.500
0.000 0.000 0.000
```